Record 1
SrGd2Ho: optimized geometry, PBE-GGA.

Computed properties:
**Crystal system**: tetragonal
**Energy relative to the lowest polymorph listed for this composition**: 0.0 kJ/mol of formula units

The structure in CIF format:
```
data_SrGd2Ho
_cell_length_a 3.685
_cell_length_b 3.685
_cell_length_c 10.620
_cell_angle_alpha 90.00
_cell_angle_beta 90.00
_cell_angle_gamma 90.00
_symmetry_space_group_name_H-M 'P 4/m m m'
_symmetry_Int_Tables_number 123
_symmetry_space_group_name_Hall '-P 4 2'
loop_
_atom_site_label
_atom_site_fract_x
_atom_site_fract_y
_atom_site_fract_z
Sr1 0.000 0.000 0.000
Gd1 0.500 0.500 0.280
Ho1 0.000 0.000 0.500
```


Record 2
Gd2HoTa: optimized geometry, PBE-GGA.

Computed properties:
**Crystal system**: trigonal

The structure in CIF format:
```
data_Gd2HoTa
_cell_length_a 3.2704
_cell_length_b 3.2704
_cell_length_c 35.1166
_cell_angle_alpha 90.00
_cell_angle_beta 90.00
_cell_angle_gamma 120.00
_symmetry_space_group_name_H-M 'R -3 m'
_symmetry_Int_Tables_number 166
_symmetry_space_group_name_Hall '-R 3 2"'
loop_
_atom_site_label
_atom_site_fract_x
_atom_site_fract_y
_atom_site_fract_z
Gd1 0.0000 0.0000 0.0830
Ho1 0.0000 0.0000 0.5000
Ta1 0.0000 0.0000 0.0000
```


Record 3
TbGdHo2: optimized geometry, PBE-GGA.

Computed properties:
**Crystal system**: trigonal
**Energy relative to the lowest polymorph listed for this composition**: 0.8 kJ/mol of formula units

The structure in CIF format:
```
data_TbGdHo2
_cell_length_a 3.5480
_cell_length_b 3.5480
_cell_length_c 34.6875
_cell_angle_alpha 90.00
_cell_angle_beta 90.00
_cell_angle_gamma 120.00
_symmetry_space_group_name_H-M 'R -3 m'
_symmetry_Int_Tables_number 166
_symmetry_space_group_name_Hall '-R 3 2"'
loop_
_atom_site_label
_atom_site_fract_x
_atom_site_fract_y
_atom_site_fract_z
Tb1 0.0000 0.0000 0.0000
Gd1 0.0000 0.0000 0.5000
Ho1 0.0000 0.0000 0.2504
```


Record 4
Tb2GdHo: optimized geometry, PBE-GGA.

Computed properties:
**Crystal system**: tetragonal
**Energy relative to the lowest polymorph listed for this composition**: 0.0 kJ/mol of formula units

The structure in CIF format:
```
data_Tb2GdHo
_cell_length_a 5.023
_cell_length_b 5.023
_cell_length_c 5.033
_cell_angle_alpha 90.00
_cell_angle_beta 90.00
_cell_angle_gamma 90.00
_symmetry_space_group_name_H-M 'P 4/m m m'
_symmetry_Int_Tables_number 123
_symmetry_space_group_name_Hall '-P 4 2'
loop_
_atom_site_label
_atom_site_fract_x
_atom_site_fract_y
_atom_site_fract_z
Tb1 0.000 0.500 0.000
Gd1 0.000 0.000 0.500
Ho1 0.500 0.500 0.500
```


Record 5
TbGdHo2: optimized geometry, PBE-GGA.

Computed properties:
**Crystal system**: tetragonal
**Energy relative to the lowest polymorph listed for this composition**: 1.1 kJ/mol of formula units

The structure in CIF format:
```
data_TbGdHo2
_cell_length_a 3.547
_cell_length_b 3.547
_cell_length_c 10.026
_cell_angle_alpha 90.00
_cell_angle_beta 90.00
_cell_angle_gamma 90.00
_symmetry_space_group_name_H-M 'P 4/m m m'
_symmetry_Int_Tables_number 123
_symmetry_space_group_name_Hall '-P 4 2'
loop_
_atom_site_label
_atom_site_fract_x
_atom_site_fract_y
_atom_site_fract_z
Tb1 0.000 0.000 0.000
Gd1 0.000 0.000 0.500
Ho1 0.500 0.500 0.248
```


Record 6
Tb2GdHo: optimized geometry, PBE-GGA.

Computed properties:
**Crystal system**: tetragonal
**Energy relative to the lowest polymorph listed for this composition**: 0.9 kJ/mol of formula units

The structure in CIF format:
```
data_Tb2GdHo
_cell_length_a 3.555
_cell_length_b 3.555
_cell_length_c 10.059
_cell_angle_alpha 90.00
_cell_angle_beta 90.00
_cell_angle_gamma 90.00
_symmetry_space_group_name_H-M 'P 4/m m m'
_symmetry_Int_Tables_number 123
_symmetry_space_group_name_Hall '-P 4 2'
loop_
_atom_site_label
_atom_site_fract_x
_atom_site_fract_y
_atom_site_fract_z
Tb1 0.000 0.000 0.247
Gd1 0.500 0.500 0.500
Ho1 0.500 0.500 0.000
```


no.,calculated formation energy (eV per atom)
1,0.1048
2,0.6054
3,0.0216
4,0.0175
5,0.0222
6,0.0198